# 1
Density functional theory data (PBE+U) for a geometry-optimized Li4Mn5O12 structure.

a = 5.8457 Å, b = 5.8457 Å, c = 13.0719 Å
α = 102.69°, β = 102.69°, γ = 89.98°
Closest atoms and distances in Å follow each position.
Element x y z (fractional)
1 Li 0.0000 0.0000 0.0000  6 O 2.07-2.12
2 Li 0.0000 0.0000 0.5000  6 O 2.07-2.12
3 Li 0.1143 0.8857 0.7500  4 O 1.93-2.01
4 Li 0.2166 0.4603 0.9228  4 O 1.94-2.07
5 Li 0.4603 0.2166 0.4228  4 O 1.94-2.07
6 Li 0.5397 0.7834 0.5772  4 O 1.94-2.07
7 Li 0.7834 0.5397 0.0772  4 O 1.94-2.07
8 Li 0.8857 0.1143 0.2500  4 O 1.93-2.01
9 Mn 0.0000 0.5000 0.5000  6 O 1.92-1.97
10 Mn 0.1667 0.6659 0.3356  6 O 1.86-2.02
11 Mn 0.3281 0.3342 0.6647  6 O 1.87-1.98
12 Mn 0.3342 0.3281 0.1647  6 O 1.87-1.98
13 Mn 0.3341 0.8333 0.1644  6 O 1.86-2.02
14 Mn 0.5000 0.0000 0.0000  6 O 1.92-1.97
15 Mn 0.6659 0.1667 0.8356  6 O 1.86-2.02
16 Mn 0.6658 0.6719 0.8353  6 O 1.87-1.98
17 Mn 0.6719 0.6658 0.3353  6 O 1.87-1.98
18 Mn 0.8333 0.3341 0.6644  6 O 1.86-2.02
19 O 0.0769 0.5588 0.6581  3 Mn 1.97, 1 Li 2.01
20 O 0.0823 0.1282 0.6696  2 Mn 1.89-1.90, 1 Li 1.93
21 O 0.1189 0.5843 0.1736  3 Mn 1.96-2.02, 1 Li 2.07
22 O 0.1282 0.0823 0.1696  2 Mn 1.89-1.90, 1 Li 1.93
23 O 0.2239 0.7254 0.4852  2 Mn 1.86-1.93, 2 Li 1.95-2.07
24 O 0.2366 0.2741 0.5144  2 Mn 1.87-1.92, 2 Li 1.94-2.07
25 O 0.2741 0.2366 0.0144  2 Mn 1.87-1.92, 2 Li 1.94-2.07
26 O 0.2746 0.7761 0.0148  2 Mn 1.86-1.93, 2 Li 1.95-2.07
27 O 0.4146 0.4365 0.3235  3 Mn 1.97-1.98, 1 Li 2.00
28 O 0.4157 0.8811 0.3264  3 Mn 1.96-2.02, 1 Li 2.07
29 O 0.4365 0.4146 0.8235  3 Mn 1.97-1.98, 1 Li 2.00
30 O 0.4412 0.9231 0.8419  3 Mn 1.97, 1 Li 2.01
31 O 0.5588 0.0769 0.1581  3 Mn 1.97, 1 Li 2.01
32 O 0.5635 0.5854 0.1765  3 Mn 1.97-1.98, 1 Li 2.00
33 O 0.5843 0.1189 0.6736  3 Mn 1.96-2.02, 1 Li 2.07
34 O 0.5854 0.5635 0.6765  3 Mn 1.97-1.98, 1 Li 2.00
35 O 0.7254 0.2239 0.9852  2 Mn 1.86-1.93, 2 Li 1.95-2.07
36 O 0.7259 0.7634 0.9856  2 Mn 1.87-1.92, 2 Li 1.94-2.07
37 O 0.7634 0.7259 0.4856  2 Mn 1.87-1.92, 2 Li 1.94-2.07
38 O 0.7761 0.2746 0.5148  2 Mn 1.86-1.93, 2 Li 1.95-2.07
39 O 0.8718 0.9177 0.8304  2 Mn 1.89-1.90, 1 Li 1.93
40 O 0.8811 0.4157 0.8264  3 Mn 1.96-2.02, 1 Li 2.07
41 O 0.9177 0.8718 0.3304  2 Mn 1.89-1.90, 1 Li 1.93
42 O 0.9231 0.4412 0.3419  3 Mn 1.97, 1 Li 2.01

Output
The value obtained for the total energy is -6.624 eV per atom. Its space group is C2/c.

# 2
Density functional theory data (PBE+U) for a geometry-optimized Li13Mn8O24 structure.

a = 4.9883 Å, b = 8.6482 Å, c = 10.1793 Å
α = 72.90°, β = 80.15°, γ = 89.72°
Closest atoms and distances in Å follow each position.
Element x y z (fractional)
1 Li 0.0000 0.0000 0.0000  6 O 2.07-2.11
2 Li 0.2234 0.9217 0.7446  5 O 2.03-2.15
3 Li 0.2417 0.9259 0.2535  5 O 2.02-2.15
4 Li 0.2463 0.2503 0.2474  6 O 1.97-2.21
5 Li 0.2531 0.2571 0.7439  5 O 1.98-2.21
6 Li 0.2677 0.5775 0.2471  6 O 2.03-2.26
7 Li 0.2795 0.5765 0.7522  6 O 2.04-2.28
8 Li 0.7205 0.4235 0.2478  6 O 2.04-2.28
9 Li 0.7323 0.4225 0.7529  6 O 2.03-2.26
10 Li 0.7469 0.7429 0.2561  5 O 1.98-2.21
11 Li 0.7537 0.7497 0.7526  6 O 1.97-2.21
12 Li 0.7583 0.0741 0.7465  5 O 2.02-2.15
13 Li 0.7766 0.0783 0.2554  5 O 2.03-2.15
14 Mn 0.0019 0.6642 0.0001  6 O 1.90-1.96
15 Mn 0.0055 0.6660 0.5011  6 O 1.91-1.94
16 Mn 0.4964 0.1670 0.4989  6 O 1.92-1.93
17 Mn 0.4994 0.8313 0.0000  6 O 1.92-1.95
18 Mn 0.5006 0.1687 0.0000  6 O 1.92-1.95
19 Mn 0.5036 0.8330 0.5011  6 O 1.92-1.93
20 Mn 0.9945 0.3340 0.4989  6 O 1.91-1.94
21 Mn 0.9981 0.3358 0.9999  6 O 1.90-1.96
22 O 0.0885 0.4592 0.6145  2 Mn 1.91-1.93, 2 Li 2.03-2.11
23 O 0.0899 0.4603 0.1150  2 Mn 1.90-1.92, 1 Li 2.06
24 O 0.1395 0.1403 0.1148  2 Mn 1.95-1.96, 4 Li 2.00-2.11
25 O 0.1422 0.1460 0.6153  2 Mn 1.93-1.94, 3 Li 1.98-2.12
26 O 0.1423 0.7816 0.1119  2 Mn 1.92-1.94, 2 Li 2.06-2.09
27 O 0.1504 0.7740 0.6160  2 Mn 1.92, 1 Li 2.04
28 O 0.3497 0.3537 0.3818  2 Mn 1.93-1.94, 3 Li 1.97-2.10
29 O 0.3540 0.3550 0.8832  2 Mn 1.92-1.94, 3 Li 1.98-2.09
30 O 0.3559 0.7233 0.8856  2 Mn 1.92, 1 Li 2.08
31 O 0.3577 0.7242 0.3868  2 Mn 1.91-1.93, 2 Li 2.02-2.13
32 O 0.3956 0.0381 0.8889  2 Mn 1.94-1.95, 2 Li 2.07-2.08
33 O 0.4109 0.0381 0.3852  2 Mn 1.92, 2 Li 2.03-2.15
34 O 0.5891 0.9619 0.6148  2 Mn 1.92, 2 Li 2.03-2.15
35 O 0.6044 0.9619 0.1111  2 Mn 1.94-1.95, 2 Li 2.07-2.08
36 O 0.6423 0.2758 0.6132  2 Mn 1.91-1.93, 2 Li 2.02-2.13
37 O 0.6441 0.2767 0.1144  2 Mn 1.92, 1 Li 2.08
38 O 0.6460 0.6450 0.1168  2 Mn 1.92-1.94, 3 Li 1.98-2.09
39 O 0.6503 0.6463 0.6182  2 Mn 1.93-1.94, 3 Li 1.97-2.10
40 O 0.8496 0.2260 0.3840  2 Mn 1.92, 1 Li 2.04
41 O 0.8577 0.2184 0.8881  2 Mn 1.92-1.94, 2 Li 2.06-2.09
42 O 0.8578 0.8540 0.3847  2 Mn 1.93-1.94, 3 Li 1.98-2.12
43 O 0.8605 0.8597 0.8852  2 Mn 1.95-1.96, 4 Li 2.00-2.11
44 O 0.9101 0.5397 0.8850  2 Mn 1.90-1.92, 1 Li 2.06
45 O 0.9115 0.5408 0.3855  2 Mn 1.91-1.93, 2 Li 2.03-2.11

Output
Its space group is P-1. The offset from the most stable computed form is 2 meV/atom.

# 3
Density functional theory data (PBE+U) for a geometry-optimized Li3MnO4 structure.

a = 5.9005 Å, b = 8.2271 Å, c = 2.8519 Å
α = 90.00°, β = 90.00°, γ = 90.00°
Closest atoms and distances in Å follow each position.
Element x y z (fractional)
1 Li 0.0000 0.0000 0.0000  6 O 2.16-2.22
2 Li 0.2500 0.2500 0.5000  6 O 2.06
3 Li 0.2500 0.7500 0.5000  6 O 2.06
4 Li 0.5000 0.5000 0.0000  6 O 2.16-2.22
5 Li 0.7500 0.2500 0.5000  6 O 2.06
6 Li 0.7500 0.7500 0.5000  6 O 2.06
7 Mn 0.0000 0.5000 0.0000  6 O 1.90-1.95
8 Mn 0.5000 0.0000 0.0000  6 O 1.90-1.95
9 O 0.0000 0.2693 0.0000  1 Mn 1.90, 4 Li 2.06
10 O 0.0000 0.7307 0.0000  1 Mn 1.90, 4 Li 2.06
11 O 0.2245 0.5000 0.5000  2 Mn 1.95, 4 Li 2.06-2.16
12 O 0.2755 0.0000 0.5000  2 Mn 1.95, 4 Li 2.06-2.16
13 O 0.5000 0.2307 0.0000  1 Mn 1.90, 4 Li 2.06
14 O 0.5000 0.7693 0.0000  1 Mn 1.90, 4 Li 2.06
15 O 0.7245 0.0000 0.5000  2 Mn 1.95, 4 Li 2.06-2.16
16 O 0.7755 0.5000 0.5000  2 Mn 1.95, 4 Li 2.06-2.16

Output
Its space group is Cmmm. The offset from the most stable computed form is 18 meV/atom.

# 4
Density functional theory data (PBE+U) for a geometry-optimized Li7Mn5O12 structure.

a = 5.3413 Å, b = 2.8711 Å, c = 14.6273 Å
α = 90.00°, β = 92.89°, γ = 90.00°
Closest atoms and distances in Å follow each position.
Element x y z (fractional)
1 Li 0.0000 0.0000 0.0000  6 O 2.14-2.20
2 Li 0.0000 0.0000 0.5000  6 O 2.11-2.17
3 Li 0.1145 0.5000 0.3510  5 O 2.10-2.22
4 Li 0.3654 0.0000 0.6580  5 O 2.02-2.20
5 Li 0.5000 0.5000 0.0000  6 O 2.15-2.23
6 Li 0.6346 0.0000 0.3420  5 O 2.02-2.20
7 Li 0.8855 0.5000 0.6490  5 O 2.10-2.22
8 Mn 0.1771 0.5000 0.8310  5 O 1.96-2.18
9 Mn 0.3218 0.0000 0.1683  4 O 1.95-1.97
10 Mn 0.5000 0.5000 0.5000  6 O 1.94-1.96
11 Mn 0.6782 0.0000 0.8317  4 O 1.95-1.97
12 Mn 0.8229 0.5000 0.1690  5 O 1.96-2.18
13 O 0.0290 0.0000 0.7550  2 Mn 1.96
14 O 0.1760 0.5000 0.0906  2 Mn 1.97, 2 Li 2.14
15 O 0.2130 0.5000 0.5760  1 Mn 1.94, 5 Li 2.02-2.11
16 O 0.3177 0.0000 0.9103  2 Mn 1.97, 3 Li 2.15-2.20
17 O 0.3412 0.0000 0.4260  2 Mn 1.96, 4 Li 2.04-2.17
18 O 0.4757 0.5000 0.2413  2 Mn 1.95
19 O 0.5243 0.5000 0.7587  2 Mn 1.95
20 O 0.6588 0.0000 0.5740  2 Mn 1.96, 4 Li 2.04-2.17
21 O 0.6823 0.0000 0.0897  2 Mn 1.97, 3 Li 2.15-2.20
22 O 0.7870 0.5000 0.4240  1 Mn 1.94, 5 Li 2.02-2.11
23 O 0.8240 0.5000 0.9094  2 Mn 1.97, 2 Li 2.14
24 O 0.9710 0.0000 0.2450  2 Mn 1.96

Output
Its space group is P2/m. The offset from the most stable computed form is 56 meV/atom.

# 5
Density functional theory data (PBE+U) for a geometry-optimized Li7Mn5O12 structure.

a = 14.8103 Å, b = 14.8103 Å, c = 5.3462 Å
α = 97.17°, β = 97.17°, γ = 11.12°
Closest atoms and distances in Å follow each position.
Element x y z (fractional)
1 Li 0.0000 0.0000 0.0000  6 O 2.11-2.17
2 Li 0.0785 0.0785 0.7108  5 O 2.01-2.20
3 Li 0.2496 0.2496 0.2450  6 O 2.14-2.27
4 Li 0.4263 0.4263 0.8151  5 O 2.07-2.23
5 Li 0.5737 0.5737 0.1849  5 O 2.07-2.23
6 Li 0.7504 0.7504 0.7550  6 O 2.14-2.27
7 Li 0.9215 0.9215 0.2892  5 O 2.01-2.20
8 Mn 0.1661 0.1661 0.4890  4 O 1.94-1.97
9 Mn 0.3346 0.3346 0.0104  5 O 1.95-2.17
10 Mn 0.5000 0.5000 0.5000  6 O 1.95-1.96
11 Mn 0.6654 0.6654 0.9896  5 O 1.95-2.17
12 Mn 0.8339 0.8339 0.5110  4 O 1.94-1.97
13 O 0.0371 0.0371 0.3773  2 Mn 1.96, 4 Li 2.03-2.17
14 O 0.1278 0.1278 0.1026  2 Mn 1.95
15 O 0.2051 0.2051 0.8879  2 Mn 1.97, 3 Li 2.14-2.18
16 O 0.2951 0.2951 0.6196  2 Mn 1.97, 2 Li 2.14
17 O 0.3701 0.3701 0.3910  3 Mn 1.94-2.17
18 O 0.4618 0.4618 0.1746  1 Mn 1.95, 5 Li 2.01-2.11
19 O 0.5382 0.5382 0.8254  1 Mn 1.95, 5 Li 2.01-2.11
20 O 0.6299 0.6299 0.6090  3 Mn 1.94-2.17
21 O 0.7049 0.7049 0.3804  2 Mn 1.97, 2 Li 2.14
22 O 0.7949 0.7949 0.1121  2 Mn 1.97, 3 Li 2.14-2.18
23 O 0.8722 0.8722 0.8974  2 Mn 1.95
24 O 0.9629 0.9629 0.6227  2 Mn 1.96, 4 Li 2.03-2.17

Output
Its space group is C2/m. The offset from the most stable computed form is 54 meV/atom.

# 6
Density functional theory data (PBE+U) for a geometry-optimized Li3Mn8O16 structure.

a = 5.9757 Å, b = 12.0669 Å, c = 8.1914 Å
α = 90.00°, β = 90.00°, γ = 90.00°
Closest atoms and distances in Å follow each position.
Element x y z (fractional)
1 Li 0.2500 0.0065 0.1286  4 O 1.97-2.10
2 Li 0.2500 0.4935 0.1286  4 O 1.97-2.10
3 Li 0.2500 0.7500 0.3686  4 O 1.94-2.03
4 Li 0.7500 0.2500 0.6314  4 O 1.94-2.03
5 Li 0.7500 0.5065 0.8714  4 O 1.97-2.10
6 Li 0.7500 0.9935 0.8714  4 O 1.97-2.10
7 Mn 0.0000 0.0000 0.5000  6 O 1.94-1.99
8 Mn 0.0000 0.5000 0.5000  6 O 1.94-1.99
9 Mn 0.0014 0.7500 0.9993  6 O 1.90-2.03
10 Mn 0.2500 0.1240 0.7530  6 O 1.93-2.13
11 Mn 0.2500 0.3760 0.7530  6 O 1.93-2.13
12 Mn 0.2500 0.6283 0.7474  6 O 1.93-1.99
13 Mn 0.2500 0.8717 0.7474  6 O 1.93-1.99
14 Mn 0.4986 0.7500 0.9993  6 O 1.90-2.03
15 Mn 0.5000 0.0000 0.5000  6 O 1.94-1.99
16 Mn 0.5000 0.5000 0.5000  6 O 1.94-1.99
17 Mn 0.5014 0.2500 0.0007  6 O 1.90-2.03
18 Mn 0.7500 0.1283 0.2526  6 O 1.93-1.99
19 Mn 0.7500 0.3717 0.2526  6 O 1.93-1.99
20 Mn 0.7500 0.6240 0.2470  6 O 1.93-2.13
21 Mn 0.7500 0.8760 0.2470  6 O 1.93-2.13
22 Mn 0.9986 0.2500 0.0007  6 O 1.90-2.03
23 O 0.0136 0.2500 0.7691  3 Mn 1.90-2.08, 1 Li 1.94
24 O 0.0244 0.5122 0.7353  3 Mn 1.94-2.13, 1 Li 1.98
25 O 0.0244 0.9878 0.7353  3 Mn 1.94-2.13, 1 Li 1.98
26 O 0.0369 0.7500 0.7603  3 Mn 1.95-1.97
27 O 0.2500 0.1042 0.5191  3 Mn 1.93-1.96
28 O 0.2500 0.1393 0.9883  3 Mn 1.94-2.01, 1 Li 1.97
29 O 0.2500 0.3607 0.9883  3 Mn 1.94-2.01, 1 Li 1.97
30 O 0.2500 0.3958 0.5191  3 Mn 1.93-1.96
31 O 0.2500 0.6094 0.5056  3 Mn 1.99, 1 Li 2.03
32 O 0.2500 0.6364 0.9830  3 Mn 1.93-2.03, 1 Li 2.10
33 O 0.2500 0.8636 0.9830  3 Mn 1.93-2.03, 1 Li 2.10
34 O 0.2500 0.8906 0.5056  3 Mn 1.99, 1 Li 2.03
35 O 0.4631 0.7500 0.7603  3 Mn 1.95-1.97
36 O 0.4756 0.5122 0.7353  3 Mn 1.94-2.13, 1 Li 1.98
37 O 0.4756 0.9878 0.7353  3 Mn 1.94-2.13, 1 Li 1.98
38 O 0.4864 0.2500 0.7691  3 Mn 1.90-2.08, 1 Li 1.94
39 O 0.5136 0.7500 0.2309  3 Mn 1.90-2.08, 1 Li 1.94
40 O 0.5244 0.0122 0.2647  3 Mn 1.94-2.13, 1 Li 1.98
41 O 0.5244 0.4878 0.2647  3 Mn 1.94-2.13, 1 Li 1.98
42 O 0.5369 0.2500 0.2397  3 Mn 1.95-1.97
43 O 0.7500 0.1094 0.4944  3 Mn 1.99, 1 Li 2.03
44 O 0.7500 0.1364 0.0170  3 Mn 1.93-2.03, 1 Li 2.10
45 O 0.7500 0.3636 0.0170  3 Mn 1.93-2.03, 1 Li 2.10
46 O 0.7500 0.3906 0.4944  3 Mn 1.99, 1 Li 2.03
47 O 0.7500 0.6042 0.4809  3 Mn 1.93-1.96
48 O 0.7500 0.6393 0.0117  3 Mn 1.94-2.01, 1 Li 1.97
49 O 0.7500 0.8607 0.0117  3 Mn 1.94-2.01, 1 Li 1.97
50 O 0.7500 0.8958 0.4809  3 Mn 1.93-1.96
51 O 0.9631 0.2500 0.2397  3 Mn 1.95-1.97
52 O 0.9756 0.0122 0.2647  3 Mn 1.94-2.13, 1 Li 1.98
53 O 0.9756 0.4878 0.2647  3 Mn 1.94-2.13, 1 Li 1.98
54 O 0.9864 0.7500 0.2309  3 Mn 1.90-2.08, 1 Li 1.94

Output
The value obtained for the total energy is -6.930 eV per atom. Its space group is Pmmn.

# 7
Density functional theory data (PBE+U) for a geometry-optimized LiMnO2 structure.

a = 6.1925 Å, b = 6.1925 Å, c = 6.1925 Å
α = 124.50°, β = 124.50°, γ = 82.37°
Closest atoms and distances in Å follow each position.
Element x y z (fractional)
1 Li 0.0000 0.0000 0.0000  6 O 2.12-2.33
2 Li 0.0000 0.0000 0.5000  6 O 2.12-2.33
3 Li 0.0000 0.5000 0.0000  6 O 2.12-2.33
4 Li 0.5000 0.0000 0.5000  6 O 2.12-2.33
5 Mn 0.0000 0.5000 0.5000  4 O 1.96
6 Mn 0.5000 0.0000 0.0000  4 O 1.96
7 Mn 0.5000 0.5000 0.0000  4 O 1.96
8 Mn 0.5000 0.5000 0.5000  4 O 1.96
9 O 0.2492 0.2684 0.5192  2 Mn 1.96, 2 Li 2.12
10 O 0.2492 0.7300 0.9808  2 Mn 1.96, 2 Li 2.12
11 O 0.2684 0.2492 0.0192  2 Mn 1.96, 2 Li 2.12
12 O 0.2700 0.7508 0.5192  2 Mn 1.96, 2 Li 2.12
13 O 0.7300 0.2492 0.4808  2 Mn 1.96, 2 Li 2.12
14 O 0.7316 0.7508 0.9808  2 Mn 1.96, 2 Li 2.12
15 O 0.7508 0.2700 0.0192  2 Mn 1.96, 2 Li 2.12
16 O 0.7508 0.7316 0.4808  2 Mn 1.96, 2 Li 2.12

Output
The value obtained for the total energy is -6.619 eV per atom. Its space group is I4_1/amd.

# 8
Density functional theory data (PBE+U) for a geometry-optimized Li5Mn3O8 structure.

a = 5.0564 Å, b = 5.7759 Å, c = 5.9124 Å
α = 60.88°, β = 74.29°, γ = 73.49°
Closest atoms and distances in Å follow each position.
Element x y z (fractional)
1 Li 0.0000 0.0000 0.0000  6 O 2.06-2.12
2 Li 0.4872 0.7659 0.2341  6 O 2.06-2.27
3 Li 0.4909 0.2458 0.2565  5 O 2.03-2.19
4 Li 0.5091 0.7542 0.7435  5 O 2.03-2.19
5 Li 0.5128 0.2341 0.7659  6 O 2.06-2.27
6 Mn 0.0000 0.0000 0.5000  6 O 1.95-1.96
7 Mn 0.0000 0.5000 0.0000  4 O 1.96-1.97
8 Mn 0.0000 0.5000 0.5000  6 O 1.95
9 O 0.2192 0.6083 0.1489  2 Mn 1.95-1.96, 3 Li 2.05-2.11
10 O 0.2209 0.1329 0.1471  2 Mn 1.96-1.97, 3 Li 2.03-2.06
11 O 0.2241 0.1380 0.6116  2 Mn 1.95, 3 Li 2.07-2.17
12 O 0.2346 0.6442 0.5961  2 Mn 1.95, 1 Li 2.07
13 O 0.7654 0.3558 0.4039  2 Mn 1.95, 1 Li 2.07
14 O 0.7759 0.8620 0.3884  2 Mn 1.95, 3 Li 2.07-2.17
15 O 0.7791 0.8671 0.8529  2 Mn 1.96-1.97, 3 Li 2.03-2.06
16 O 0.7808 0.3917 0.8511  2 Mn 1.95-1.96, 3 Li 2.05-2.11

Output
Its space group is P-1. The offset from the most stable computed form is 7 meV/atom.